TcNiAu2 (PBE, relaxed); total magnetic moment = 0.197 μB per atom; energy relative to the elements = 0.335 eV per atom; symmetry = No. 166; E = -21.4 eV/cell; mass density = 14.77 g/cm³
1.0
-5.7119 6.9604 -1.2534
-5.8554 5.8046 -3.8296
-7.5015 4.8285 -1.7486
Au Ni Tc
2 1 1
Direct
0.9965 0.9965 0.9965 Au
0.5035 0.5035 0.5035 Au
0.2500 0.2500 0.2500 Ni
0.7500 0.7500 0.7500 Tc